Material: Na2Co2RhO4
Method: DFT, PBE+U
State: relaxed

Cell lengths 3.0830, 7.6710, 8.1608 Å; angles 135.05, 90.00, 101.59 degrees
With the nearest neighbours (Å) after each atom.
Positions (direct):
1 Na 0.8874 0.7747 0.5080  4 O 2.33-2.37
2 Na 0.1126 0.2253 0.4920  4 O 2.33-2.37
3 Co 0.3243 0.6485 0.9966  4 O 1.97-2.04
4 Co 0.6757 0.3515 0.0034  4 O 1.97-2.04
5 Rh 0.0000 0.0000 0.0000  4 O 2.06
6 O 0.7040 0.4080 0.7930  3 Co 2.02-2.04
7 O 0.2960 0.5920 0.2070  3 Co 2.02-2.04
8 O 0.5071 0.0141 0.1759  1 Co 1.97, 2 Rh 2.06
9 O 0.4929 0.9859 0.8241  1 Co 1.97, 2 Rh 2.06

Properties
- VASP energy (eV/atom) = -5.40
- total magnetic moment (μB per formula unit) = 5.0
- SG = C2/m (12)